This record from the Alexandria database describes a geometry-optimized BaGe3Cl structure. The functional is GGA-PBE.

The excess energy over the best structure of this formula in the dataset is 1012.3 meV/atom.

Lattice parameters (Å, degrees): 6.0254 6.0254 6.0254 90.00 90.00 90.00
Fractional positions:
1 Ba 0.0000 0.0000 0.0000
2 Ge 0.0000 0.0000 0.5000
3 Ge 0.0000 0.5000 0.0000
4 Ge 0.5000 0.0000 0.0000
5 Cl 0.5000 0.5000 0.5000

=====

This record from the Alexandria database describes a geometry-optimized Ho3NpO8 structure. The functional is GGA-PBE.

As for the uncorrected energy: -8.75 eV/atom.

Lattice parameters (Å, degrees): 5.3014 5.3014 5.3014 90.00 90.00 90.00
Fractional positions:
1 Ho 0.0000 0.0000 0.5000
2 Ho 0.0000 0.5000 0.0000
3 Ho 0.5000 0.0000 0.0000
4 Np 0.5000 0.5000 0.5000
5 O 0.2614 0.2614 0.2614
6 O 0.2614 0.2614 0.7386
7 O 0.2614 0.7386 0.2614
8 O 0.2614 0.7386 0.7386
9 O 0.7386 0.2614 0.2614
10 O 0.7386 0.2614 0.7386
11 O 0.7386 0.7386 0.2614
12 O 0.7386 0.7386 0.7386

=====

This record from the Alexandria database describes a geometry-optimized Ac4Ga3Pd5 structure. The functional is GGA-PBE.

As for the energy relative to the elements: -773 kJ/mol of formula units.

Lattice parameters (Å, degrees): 7.5773 7.5773 11.3439 124.72 124.72 36.11
Fractional positions:
1 Ac 0.0240 0.0240 0.2970
2 Ac 0.2597 0.2597 0.7435
3 Ac 0.7403 0.7403 0.2565
4 Ac 0.9760 0.9760 0.7030
5 Ga 0.0000 0.0000 0.0000
6 Ga 0.3064 0.3064 0.0725
7 Ga 0.6936 0.6936 0.9275
8 Pd 0.3053 0.3053 0.4917
9 Pd 0.4167 0.4167 0.3530
10 Pd 0.5000 0.5000 0.0000
11 Pd 0.5833 0.5833 0.6470
12 Pd 0.6947 0.6947 0.5083

=====

This record from the Alexandria database describes a geometry-optimized Tm12GaRh6 structure. The functional is GGA-PBE.

As for the energy relative to the elements: -1072 kJ/mol of formula units.

Lattice parameters (Å, degrees): 8.1401 8.1401 8.1401 102.07 102.07 102.07
Fractional positions:
1 Tm 0.0693 0.9284 0.3287
2 Tm 0.0716 0.6713 0.9307
3 Tm 0.1729 0.4160 0.5623
4 Tm 0.3287 0.0693 0.9284
5 Tm 0.4160 0.5623 0.1729
6 Tm 0.4377 0.8271 0.5840
7 Tm 0.5623 0.1729 0.4160
8 Tm 0.5840 0.4377 0.8271
9 Tm 0.6713 0.9307 0.0716
10 Tm 0.8271 0.5840 0.4377
11 Tm 0.9284 0.3287 0.0693
12 Tm 0.9307 0.0716 0.6713
13 Ga 0.0000 0.0000 0.0000
14 Rh 0.1414 0.6151 0.3094
15 Rh 0.3094 0.1414 0.6151
16 Rh 0.3849 0.6906 0.8586
17 Rh 0.6151 0.3094 0.1414
18 Rh 0.6906 0.8586 0.3849
19 Rh 0.8586 0.3849 0.6906

=====

This record from the Alexandria database describes a geometry-optimized BeTe2NCl structure. The functional is GGA-PBE.

The excess energy over the best structure of this formula in the dataset is 0.0 meV/atom.

Lattice parameters (Å, degrees): 5.5712 5.5712 3.1241 90.00 90.00 90.00
Fractional positions:
1 Be 0.0000 0.0000 0.0000
2 Te 0.0000 0.5000 0.0000
3 Te 0.5000 0.0000 0.0000
4 N 0.0000 0.0000 0.5000
5 Cl 0.5000 0.5000 0.5000

=====

This record from the Alexandria database describes a geometry-optimized La3PbI3 structure. The functional is GGA-PBE.

As for the uncorrected energy: -4.45 eV/atom.

Lattice parameters (Å, degrees): 11.3017 11.3017 11.3017 109.47 109.47 109.47
Fractional positions:
1 La 0.0069 0.0138 0.2569
2 La 0.0069 0.4931 0.7500
3 La 0.0138 0.2569 0.0069
4 La 0.2431 0.2569 0.7500
5 La 0.2431 0.4862 0.4931
6 La 0.2569 0.0069 0.0138
7 La 0.2569 0.7500 0.2431
8 La 0.4862 0.4931 0.2431
9 La 0.4931 0.2431 0.4862
10 La 0.4931 0.7500 0.0069
11 La 0.7500 0.0069 0.4931
12 La 0.7500 0.2431 0.2569
13 Pb 0.0000 0.2500 0.5000
14 Pb 0.2500 0.2500 0.2500
15 Pb 0.2500 0.5000 0.0000
16 Pb 0.5000 0.0000 0.2500
17 I 0.2500 0.7554 0.7446
18 I 0.2500 0.9946 0.5054
19 I 0.5054 0.2500 0.9946
20 I 0.5054 0.7554 0.5109
21 I 0.5109 0.5054 0.7554
22 I 0.7446 0.2500 0.7554
23 I 0.7446 0.9946 0.9891
24 I 0.7554 0.5109 0.5054
25 I 0.7554 0.7446 0.2500
26 I 0.9891 0.7446 0.9946
27 I 0.9946 0.5054 0.2500
28 I 0.9946 0.9891 0.7446

=====

This record from the Alexandria database describes a geometry-optimized AcAlSe3 structure. The functional is GGA-PBE.

The excess energy over the best structure of this formula in the dataset is 217.6 meV/atom.

Lattice parameters (Å, degrees): 4.9904 4.9904 4.9904 90.00 90.00 90.00
Fractional positions:
1 Ac 0.0000 0.0000 0.0000
2 Al 0.5000 0.5000 0.5000
3 Se 0.0000 0.5000 0.5000
4 Se 0.5000 0.0000 0.5000
5 Se 0.5000 0.5000 0.0000

=====

This record from the Alexandria database describes a geometry-optimized Nd2Bi5Rh3 structure. The functional is GGA-PBE.

As for the energy relative to the elements: -480 kJ/mol of formula units.

Lattice parameters (Å, degrees): 13.9355 13.9355 7.6992 90.00 90.00 160.66
Fractional positions:
1 Nd 0.0252 0.9748 0.5000
2 Nd 0.3306 0.6694 0.5251
3 Nd 0.6694 0.3306 0.0251
4 Nd 0.9748 0.0252 0.0000
5 Bi 0.0961 0.9039 0.8731
6 Bi 0.2017 0.7983 0.3293
7 Bi 0.2140 0.7860 0.7545
8 Bi 0.3787 0.6213 0.0047
9 Bi 0.4546 0.5454 0.6676
10 Bi 0.5454 0.4546 0.1676
11 Bi 0.6213 0.3787 0.5047
12 Bi 0.7860 0.2140 0.2545
13 Bi 0.7983 0.2017 0.8293
14 Bi 0.9039 0.0961 0.3731
15 Rh 0.1027 0.8973 0.2454
16 Rh 0.2714 0.7286 0.0546
17 Rh 0.4489 0.5511 0.2870
18 Rh 0.5511 0.4489 0.7870
19 Rh 0.7286 0.2714 0.5546
20 Rh 0.8973 0.1027 0.7454

=====

This record from the Alexandria database describes a geometry-optimized TlPtF2 structure. The functional is GGA-PBE.

The excess energy over the best structure of this formula in the dataset is 0.0 meV/atom.

Lattice parameters (Å, degrees): 8.3094 8.3094 8.3094 21.45 21.45 21.45
Fractional positions:
1 Tl 0.0000 0.0000 0.0000
2 Pt 0.5000 0.5000 0.5000
3 F 0.4177 0.4177 0.4177
4 F 0.5823 0.5823 0.5823

=====

This record from the Alexandria database describes a geometry-optimized Tm2PS structure. The functional is GGA-PBE.

The excess energy over the best structure of this formula in the dataset is 0.0 meV/atom.

Lattice parameters (Å, degrees): 6.7719 6.7719 6.7719 132.08 132.08 70.10
Fractional positions:
1 Tm 0.1201 0.3701 0.7500
2 Tm 0.3701 0.1201 0.2500
3 Tm 0.6299 0.8799 0.7500
4 Tm 0.8799 0.6299 0.2500
5 P 0.1250 0.8750 0.2500
6 P 0.8750 0.1250 0.7500
7 S 0.3750 0.6250 0.7500
8 S 0.6250 0.3750 0.2500

=====

This record from the Alexandria database describes a geometry-optimized Y5Te2Pt2 structure. The functional is GGA-PBE.

As for the uncorrected energy: -6.84 eV/atom.

Lattice parameters (Å, degrees): 8.7490 8.7490 7.8124 90.00 90.00 53.21
Fractional positions:
1 Y 0.0000 0.0000 0.0000
2 Y 0.0392 0.7197 0.6586
3 Y 0.2197 0.5392 0.1586
4 Y 0.2803 0.9608 0.6586
5 Y 0.4608 0.7803 0.1586
6 Y 0.5000 0.5000 0.5000
7 Y 0.5392 0.2197 0.8414
8 Y 0.7197 0.0392 0.3414
9 Y 0.7803 0.4608 0.8414
10 Y 0.9608 0.2803 0.3414
11 Te 0.2074 0.2074 0.0000
12 Te 0.2926 0.2926 0.5000
13 Te 0.7074 0.7074 0.5000
14 Te 0.7926 0.7926 0.0000
15 Pt 0.1387 0.8613 0.3643
16 Pt 0.3613 0.6387 0.8643
17 Pt 0.6387 0.3613 0.1357
18 Pt 0.8613 0.1387 0.6357

=====

This record from the Alexandria database describes a geometry-optimized TbPm2Ho9 structure. The functional is GGA-PBE.

As for the energy relative to the elements: 144 kJ/mol of formula units. The excess energy over the best structure of this formula in the dataset is 60.5 meV/atom.

Lattice parameters (Å, degrees): 5.8865 5.8865 11.0039 90.00 90.00 90.00
Fractional positions:
1 Tb 0.0000 0.0000 0.0000
2 Pm 0.0000 0.0000 0.3332
3 Pm 0.0000 0.0000 0.6668
4 Ho 0.0000 0.5000 0.1649
5 Ho 0.0000 0.5000 0.5000
6 Ho 0.0000 0.5000 0.8351
7 Ho 0.5000 0.0000 0.1649
8 Ho 0.5000 0.0000 0.5000
9 Ho 0.5000 0.0000 0.8351
10 Ho 0.5000 0.5000 0.0000
11 Ho 0.5000 0.5000 0.3337
12 Ho 0.5000 0.5000 0.6663